Crystalline YTaTe2 at its relaxed geometry, computed with GGA-PBE.

Cell and atoms, written as POSCAR:
```
YTaTe2
1.0
-1.8722 1.9685 6.7544
1.8722 -1.9685 6.7544
1.8722 1.9685 -6.7544
Y Ta Te
1 1 2
direct
0.0000 0.0000 0.0000 Y
0.2488 0.7488 0.5000 Ta
0.4045 0.4045 0.0000 Te
0.6710 0.1710 0.5000 Te
```

Energy relative to the elements, uncorrected   -0.54 eV per atom
Total DFT energy (no corrections)   -26.77 eV/cell
Excess energy over the best structure of this formula in the dataset   0.00 kJ/mol of atoms
Fermi-level density of states   0.676 states/eV per cell
M_tot   0.000 μB/f.u.